First-principles (PBE) data for an optimized crystal structure of Ac2BiSe, as listed in Alexandria via LeMat-Bulk.

Size of the total moment, μB/f.u.: 0.462
DFT total energy, eV/cell: -20.76
Uncorrected formation energy, eV/atom: -1.2944

a b c (Å): 4.5557 4.5557 8.6388
angles (deg): 74.71 74.71 60.00
Positions (direct):
Ac (0.0840, 0.0840, 0.7480)
Ac (0.2499, 0.2499, 0.2503)
Bi (0.6678, 0.6678, 0.9965)
Se (0.4983, 0.4983, 0.5052)

---

First-principles (PBE) data for an optimized crystal structure of RbGe2Te8Ir, as listed in Alexandria via LeMat-Bulk.

Size of the total moment, μB/f.u.: 0.000
DFT total energy, eV/cell: -45.38
Uncorrected formation energy, eV/atom: -0.0987

a b c (Å): 6.4104 6.4104 13.0460
angles (deg): 75.78 75.78 60.00
Positions (direct):
Rb (0.5000, 0.5000, 0.5000)
Ge (0.2638, 0.2638, 0.2087)
Ge (0.7362, 0.7362, 0.7913)
Te (0.1966, 0.1966, 0.4101)
Te (0.6912, 0.2924, 0.1432)
Te (0.8034, 0.8034, 0.5899)
Te (0.8733, 0.6912, 0.1432)
Te (0.1267, 0.3088, 0.8568)
Te (0.2924, 0.8733, 0.1432)
Te (0.7076, 0.1267, 0.8568)
Te (0.3088, 0.7076, 0.8568)
Ir (0.0000, 0.0000, 0.0000)

---

no.,calculated density (g cm⁻³)
1,8.33
2,5.39